Entry 1:
Density functional theory data (PBE) for SrLaTm2 after structural relaxation.

Unit cell a=12.318 b=12.318 c=12.318 alpha=17.22 beta=17.22 gamma=17.22
Positions (direct):
1 Sr 0.000 0.000 0.000
2 La 0.166 0.166 0.166
3 Tm 0.578 0.578 0.578
4 Tm 0.754 0.754 0.754

Values from the calculation:
M_tot (μB per cell): 0.00
Energy relative to the elements (eV/atom): 0.14
Crystal system: trigonal
Final energy (eV per atom): -3.7500
Offset from the most stable computed form (eV/atom): 0.000

Entry 2:
Density functional theory data (PBE) for SrLaTm2 after structural relaxation.

Unit cell a=12.352 b=12.352 c=12.352 alpha=17.18 beta=17.18 gamma=17.18
Positions (direct):
1 Sr 0.000 0.000 0.000
2 La 0.500 0.500 0.500
3 Tm 0.245 0.245 0.245
4 Tm 0.755 0.755 0.755

Values from the calculation:
M_tot (μB per cell): 0.00
Energy relative to the elements (eV/atom): 0.15
Crystal system: trigonal
Final energy (eV per atom): -3.7387
Offset from the most stable computed form (eV/atom): 0.011

Entry 3:
Density functional theory data (PBE) for Sr3LaV after structural relaxation.

Unit cell a=6.220 b=6.220 c=6.220 alpha=90.00 beta=90.00 gamma=90.00
Positions (direct):
1 Sr 0.000 0.000 0.500
2 Sr 0.000 0.500 0.000
3 Sr 0.500 0.000 0.000
4 La 0.000 0.000 0.000
5 V 0.500 0.500 0.500

Values from the calculation:
M_tot (μB per cell): 2.07
Energy relative to the elements (eV/atom): 1.34
Crystal system: cubic
Final energy (eV per atom): -2.4757
Offset from the most stable computed form (eV/atom): 0.621

Entry 4:
Density functional theory data (PBE) for Sr3LaV after structural relaxation.

Unit cell a=6.136 b=6.136 c=6.136 alpha=90.00 beta=90.00 gamma=90.00
Positions (direct):
1 Sr 0.000 0.000 0.500
2 Sr 0.000 0.500 0.000
3 Sr 0.500 0.000 0.000
4 La 0.500 0.500 0.500
5 V 0.000 0.000 0.000

Values from the calculation:
M_tot (μB per cell): 3.36
Energy relative to the elements (eV/atom): 0.72
Crystal system: cubic
Final energy (eV per atom): -3.0967
Offset from the most stable computed form (eV/atom): 0.000

Entry 5:
Density functional theory data (PBE) for Sr2La2W after structural relaxation.

Unit cell a=10.151 b=10.151 c=10.151 alpha=155.35 beta=155.35 gamma=35.14
Positions (direct):
1 Sr 0.250 0.750 0.500
2 Sr 0.750 0.250 0.500
3 La 0.078 0.078 0.000
4 La 0.922 0.922 0.000
5 W 0.500 0.500 0.000

Values from the calculation:
M_tot (μB per cell): 1.93
Energy relative to the elements (eV/atom): 1.18
Crystal system: tetragonal
Final energy (eV per atom): -4.0566
Offset from the most stable computed form (eV/atom): 0.545

Entry 6:
Density functional theory data (PBE) for Sr2LaW after structural relaxation.

Unit cell a=5.718 b=5.718 c=5.718 alpha=60.00 beta=60.00 gamma=60.00
Positions (direct):
1 Sr 0.250 0.250 0.250
2 Sr 0.750 0.750 0.750
3 La 0.000 0.000 0.000
4 W 0.500 0.500 0.500

Values from the calculation:
M_tot (μB per cell): 2.91
Energy relative to the elements (eV/atom): 1.11
Crystal system: cubic
Final energy (eV per atom): -4.2051
Offset from the most stable computed form (eV/atom): 0.414

Entry 7:
Density functional theory data (PBE) for Sr2LaW after structural relaxation.

Unit cell a=12.428 b=12.428 c=12.428 alpha=16.00 beta=16.00 gamma=16.00
Positions (direct):
1 Sr 0.236 0.236 0.236
2 Sr 0.764 0.764 0.764
3 La 0.000 0.000 0.000
4 W 0.500 0.500 0.500

Values from the calculation:
M_tot (μB per cell): 0.00
Energy relative to the elements (eV/atom): 1.05
Crystal system: trigonal
Final energy (eV per atom): -4.2587
Offset from the most stable computed form (eV/atom): 0.361

Entry 8:
Density functional theory data (PBE) for Sr2LaW after structural relaxation.

Unit cell a=6.408 b=6.408 c=6.408 alpha=135.50 beta=135.50 gamma=64.75
Positions (direct):
1 Sr 0.250 0.750 0.500
2 Sr 0.750 0.250 0.500
3 La 0.000 0.000 0.000
4 W 0.500 0.500 0.000

Values from the calculation:
M_tot (μB per cell): 1.22
Energy relative to the elements (eV/atom): 1.01
Crystal system: tetragonal
Final energy (eV per atom): -4.2968
Offset from the most stable computed form (eV/atom): 0.323